First-principles (meta-GGA SCAN) data for a crystal of HgIrCl2 relaxed with PBEsol, as listed in Alexandria.

The structure in POSCAR format:
```
HgIrCl2
1.0
3.304 0.058 0.000
-1.596 2.894 0.000
0.000 0.000 8.436
Ir Hg Cl
1 1 2
Cartesian
0.854 1.476 2.055 Ir
0.000 0.000 4.098 Hg
0.000 0.000 0.516 Cl
0.854 1.476 5.985 Cl
```

Computed properties:
Symmetry ... Cmm2
E above lowest polymorph ... 0.000 eV/atom
Magnetization ... 0.00 μB/f.u.
Uncorrected formation energy ... 124 meV per atom
VASP energy ... -38.68 eV/atom


First-principles (meta-GGA SCAN) data for a crystal of HgIrCl relaxed with PBEsol, as listed in Alexandria.

The structure in POSCAR format:
```
HgIrCl
1.0
4.521 0.000 0.000
2.261 3.916 0.000
2.261 1.305 3.692
Ir Hg Cl
1 1 1
Cartesian
0.000 0.000 0.000 Ir
2.261 1.305 0.923 Hg
4.521 2.610 1.846 Cl
```

Computed properties:
Symmetry ... F-43m
E above lowest polymorph ... 0.684 eV/atom
Magnetization ... 1.76 μB/f.u.
Uncorrected formation energy ... 1347 meV per atom
VASP energy ... -47.73 eV/atom


First-principles (meta-GGA SCAN) data for a crystal of HgIrCl relaxed with PBEsol, as listed in Alexandria.

The structure in POSCAR format:
```
HgIrCl
1.0
3.127 0.000 0.000
-1.564 2.708 0.000
0.000 0.000 6.287
Ir Hg Cl
1 1 1
Cartesian
0.000 1.806 1.985 Ir
1.564 0.903 4.093 Hg
0.000 0.000 0.209 Cl
```

Computed properties:
Symmetry ... P3m1
E above lowest polymorph ... 0.000 eV/atom
Magnetization ... 1.08 μB/f.u.
Uncorrected formation energy ... 663 meV per atom
VASP energy ... -48.42 eV/atom


First-principles (meta-GGA SCAN) data for a crystal of HgIrCl3 relaxed with PBEsol, as listed in Alexandria.

The structure in POSCAR format:
```
HgIrCl3
1.0
-2.332 -0.907 4.034
0.545 -4.658 -0.733
4.098 0.103 2.392
Ir Hg Cl
1 1 3
Cartesian
0.000 0.000 0.000 Ir
1.156 -2.731 2.847 Hg
0.272 -2.329 -0.366 Cl
2.049 0.052 1.196 Cl
-1.166 -0.454 2.017 Cl
```

Computed properties:
Symmetry ... Pm-3m
Magnetization ... 0.00 μB/f.u.
Uncorrected formation energy ... -31 meV per atom
VASP energy ... -32.67 eV/atom